Entry 1:
# ScH3Se PBE optimized geometry
data_ScH3Se
_space_group_name_H-M_alt 'P 1'
_space_group_IT_number 1
_cell_length_a 3.774
_cell_length_b 3.774
_cell_length_c 3.774
_cell_angle_alpha 90.00
_cell_angle_beta 90.00
_cell_angle_gamma 90.00
loop_
_space_group_symop_operation_xyz
'x,y,z'
loop_
_atom_site_label
_atom_site_fract_x
_atom_site_fract_y
_atom_site_fract_z
Sc1 0.000 0.000 0.000
H1 0.000 0.000 0.500
H2 0.000 0.500 0.000
H3 0.500 0.000 0.000
Se1 0.500 0.500 0.500
# space-group type = No. 221
# E = -19.73 eV per formula unit

---

Entry 2:
# SiTePd PBE optimized geometry
data_SiTePd
_space_group_name_H-M_alt 'P 1'
_space_group_IT_number 1
_cell_length_a 3.053
_cell_length_b 5.023
_cell_length_c 4.563
_cell_angle_alpha 90.00
_cell_angle_beta 108.29
_cell_angle_gamma 90.00
loop_
_space_group_symop_operation_xyz
'x,y,z'
loop_
_atom_site_label
_atom_site_fract_x
_atom_site_fract_y
_atom_site_fract_z
Si1 0.000 0.000 0.000
Te1 0.143 0.500 0.297
Pd1 0.302 0.000 0.578
# space-group type = No. 6
# E = -14.02 eV per formula unit
# uncorrected formation energy = -0.086 eV/atom

---

Entry 3:
# Na2ScInBr6 PBE optimized geometry
data_Na2ScInBr6
_space_group_name_H-M_alt 'P 1'
_space_group_IT_number 1
_cell_length_a 8.070
_cell_length_b 8.070
_cell_length_c 8.070
_cell_angle_alpha 55.07
_cell_angle_beta 55.07
_cell_angle_gamma 55.07
loop_
_space_group_symop_operation_xyz
'x,y,z'
loop_
_atom_site_label
_atom_site_fract_x
_atom_site_fract_y
_atom_site_fract_z
Na1 0.000 0.000 0.000
Na2 0.483 0.483 0.483
Sc1 0.676 0.676 0.676
In1 0.192 0.192 0.192
Br1 0.044 0.443 0.752
Br2 0.297 0.863 0.621
Br3 0.443 0.752 0.044
Br4 0.621 0.297 0.863
Br5 0.752 0.044 0.443
Br6 0.863 0.621 0.297
# space-group type = No. 146
# E = -36.02 eV per formula unit
# uncorrected formation energy = -1.428 eV/atom

---

Entry 4:
# Pm6MgCd PBE optimized geometry
data_Pm6MgCd
_space_group_name_H-M_alt 'P 1'
_space_group_IT_number 1
_cell_length_a 7.198
_cell_length_b 12.598
_cell_length_c 6.866
_cell_angle_alpha 90.00
_cell_angle_beta 120.97
_cell_angle_gamma 90.00
loop_
_space_group_symop_operation_xyz
'x,y,z'
loop_
_atom_site_label
_atom_site_fract_x
_atom_site_fract_y
_atom_site_fract_z
Pm1 0.004 0.000 0.250
Pm2 0.006 0.287 0.751
Pm3 0.006 0.713 0.751
Pm4 0.494 0.213 0.249
Pm5 0.494 0.787 0.249
Pm6 0.496 0.500 0.750
Pm7 0.504 0.500 0.250
Pm8 0.506 0.213 0.751
Pm9 0.506 0.787 0.751
Pm10 0.994 0.287 0.249
Pm11 0.994 0.713 0.249
Pm12 0.996 0.000 0.750
Mg1 0.000 0.500 0.000
Mg2 0.500 0.000 0.000
Cd1 0.000 0.500 0.500
Cd2 0.500 0.000 0.500
# DFT formation energy = 1.64 eV per formula unit
# space-group type = No. 12
# E = -29.38 eV per formula unit